Record 1
This record from Alexandria via LeMat-Bulk describes a relaxed SiBC crystal. The functional is GGA-PBE.

Values from the calculation:
As for the magnetization: 0.00 μB/cell. As for the uncorrected formation energy: 467 meV/atom. As for the total DFT energy (no corrections): -6.64 eV/atom. Its density of states at the Fermi level is 0.6 states/eV/cell.

Cell lengths 3.3510, 2.7358, 3.7390 Å; angles 90.00, 115.78, 90.00 degrees
Space group Pm (No. 6)
Unique sites:
1 Si 0.0000 0.0000 0.0000 x1
2 B 0.3268 0.0000 0.6404 x1
3 C 0.1969 0.5000 0.3887 x1

Record 2
This record from Alexandria via LeMat-Bulk describes a relaxed SiB2C2 crystal. The functional is GGA-PBE.

Values from the calculation:
As for the magnetization: 0.00 μB/cell. As for the uncorrected formation energy: 553 meV/atom. As for the total DFT energy (no corrections): -6.89 eV/atom. Its density of states at the Fermi level is 2.4 states/eV/cell.

Cell lengths 6.3236, 2.7346, 5.6929 Å; angles 90.00, 100.70, 90.00 degrees
Space group Cm (No. 8)
Unique sites:
1 Si 0.0000 0.0000 0.0000 x2
2 B 0.0054 0.0000 0.3686 x2
3 B 0.2614 0.0000 0.8409 x2
4 C 0.2322 0.0000 0.5622 x2
5 C 0.3993 0.0000 0.4322 x2

Record 3
This record from Alexandria via LeMat-Bulk describes a relaxed SiBC crystal. The functional is GGA-PBE.

Values from the calculation:
As for the magnetization: 0.00 μB/cell. As for the uncorrected formation energy: 406 meV/atom. As for the total DFT energy (no corrections): -6.70 eV/atom. Its density of states at the Fermi level is 1.7 states/eV/cell.

Cell lengths 3.0379, 3.0379, 12.4926 Å; angles 90.00, 90.00, 120.00 degrees
Space group R3m (No. 160, hexagonal axes)
Unique sites:
1 Si 0.0000 0.0000 0.0000 x3
2 B 0.0000 0.0000 0.1578 x3
3 C 0.0000 0.0000 0.2764 x3

Record 4
This record from Alexandria via LeMat-Bulk describes a relaxed SiB2C3 crystal. The functional is GGA-PBE.

Values from the calculation:
As for the magnetization: 0.00 μB/cell. As for the uncorrected formation energy: 199 meV/atom. As for the total DFT energy (no corrections): -7.54 eV/atom.

Cell lengths 5.5230, 2.8466, 6.2824 Å; angles 90.00, 94.14, 90.00 degrees
Space group Cm (No. 8)
Unique sites:
1 Si 0.0000 0.0000 0.0000 x2
2 B 0.1828 0.5000 0.6522 x2
3 B 0.3690 0.0000 0.3551 x2
4 C 0.0530 0.0000 0.6988 x2
5 C 0.3340 0.0000 0.1028 x2
6 C 0.3744 0.5000 0.4772 x2